First-principles (PBE) data for a relaxed structure of Er3Ga4Pt2, as listed in the Alexandria database.

abc: 4.367 5.722 8.271
angles: 71.65 74.69 67.57
Sites, in units of the cell vectors:
Ga 0.983 0.677 0.357
Er 0.682 0.278 0.359
Ga 0.743 0.596 0.917
Pt 0.400 0.931 0.268
Pt 0.600 0.069 0.732
Ga 0.017 0.323 0.643
Er 0.000 0.000 0.000
Ga 0.257 0.404 0.083
Er 0.318 0.722 0.641

Results
ΔH_f (0 K) in eV/atom: -0.949
Symmetry: C2/m (12)
Energy in eV per atom: -5.16
Magnetic moment in μB per atom: 0.000
Calculated density in Mg/m³: 10.9

---

First-principles (PBE) data for a relaxed structure of CoRhBr3, as listed in the Alexandria database.

abc: 5.058 5.058 5.058
angles: 90.00 90.00 90.00
Site moments in Bohr magnetons follow the coordinates.
Sites, in units of the cell vectors:
Br 0.500 0.000 0.000  0.01
Br 0.000 0.500 0.000  0.01
Br 0.000 0.000 0.500  0.01
Rh 0.000 0.000 0.000  -0.03
Co 0.500 0.500 0.500  2.19

Results
Energy above the lowest structure with this stoichiometry in meV per atom: 0
Symmetry: Pm-3m (221)
Energy in eV per atom: -3.33
Magnetic moment in μB per atom: 0.462
Formation energy from raw total energies in meV per atom: 564
Calculated density in Mg/m³: 5.2

---

First-principles (PBE) data for a relaxed structure of TiAlVNi, as listed in the Alexandria database.

abc: 4.311 4.311 4.311
angles: 60.00 60.00 60.00
Site moments in Bohr magnetons follow the coordinates.
Sites, in units of the cell vectors:
Al 0.250 0.250 0.250  -0.02
V 0.500 0.500 0.500  2.16
Ti 0.750 0.750 0.750  0.60
Ni 0.000 0.000 0.000  0.43

Results
ΔH_f (0 K) in eV/atom: -0.236
Symmetry: F-43m (216)
Energy in eV per atom: -6.87
Magnetic moment in μB per atom: 0.896
Calculated density in Mg/m³: 5.4